## Pu3Sb4Pt3 (GGA-PBE)

Data for crystalline Pu3Sb4Pt3 at its relaxed geometry.

Values from the calculation:
E_form (uncorrected) (eV per atom): -0.721
Density of states at the Fermi level (states/eV per cell): 150.66
VASP energy (eV/cell): -339.26

Lattice parameters (Å, degrees): 9.8173 9.8173 9.8173 90.00 90.00 90.00
Closest atoms and distances in Å follow each position.
Space group I-43d (No. 220)
One atom of each set of equivalent atoms:
Pu 0.0000 0.2500 0.3750 [12 per cell]  4 Pt 3.01
Sb 0.0863 0.0863 0.0863 [16 per cell]  3 Pt 2.76
Pt 0.0000 0.2500 0.8750 [12 per cell]  4 Sb 2.76, 4 Pu 3.01